No. 1
Compound: Ac2LaTl2
Source: Alexandria via LeMat-Bulk
Functional: PBE
Structure: relaxed

a = 9.8801 Å, b = 9.8801 Å, c = 7.1766 Å
α = 90.00°, β = 90.00°, γ = 147.75°
Last column: nearest neighbours and their distance in Å.
Positions (direct):
Ac 0.0189 0.9811 0.5000  3 Tl 3.41-3.52, 2 Ac 3.66
Ac 0.2000 0.8000 0.8035  6 Tl 3.46-3.60, 1 La 3.83
Ac 0.8000 0.2000 0.3035  6 Tl 3.46-3.60, 1 La 3.83
Ac 0.9811 0.0189 0.0000  3 Tl 3.41-3.52, 2 Ac 3.66
La 0.3975 0.6025 0.6970  4 Tl 3.29-3.47
La 0.6025 0.3975 0.1970  4 Tl 3.29-3.47
Tl 0.1887 0.8113 0.3039  2 La 3.29, 5 Ac 3.46-3.60
Tl 0.4199 0.5801 0.2316  2 La 3.37-3.47, 4 Ac 3.41-3.60
Tl 0.5801 0.4199 0.7316  2 La 3.37-3.47, 4 Ac 3.41-3.60
Tl 0.8113 0.1887 0.8039  2 La 3.29, 5 Ac 3.46-3.60

Calculated values
ΔE_f (kJ per mole of atoms): -22.6
SG: Cmc2_1, No. 36
Electronic total energy (eV per atom): -3.810
Polymorph energy (0 for the lowest one) (meV/atom): 57
Magnetic moment (μB per formula unit): 0.0

=====

No. 2
Compound: CaErGa
Source: Alexandria via LeMat-Bulk
Functional: PBE
Structure: relaxed

a = 7.8771 Å, b = 7.8771 Å, c = 4.6270 Å
α = 90.00°, β = 90.00°, γ = 120.00°
Last column: nearest neighbours and their distance in Å.
Positions (direct):
Ca 0.0000 0.5840 0.0000  5 Ga 3.28-3.31, 2 Er 3.48
Ca 0.4160 0.4160 0.0000  5 Ga 3.28-3.31, 2 Er 3.48
Ca 0.5840 0.0000 0.0000  5 Ga 3.28-3.31, 2 Er 3.48
Er 0.0000 0.2535 0.5000  4 Ga 2.99-3.06
Er 0.2535 0.0000 0.5000  4 Ga 2.99-3.06
Er 0.7465 0.7465 0.5000  4 Ga 2.99-3.06
Ga 0.0000 0.0000 0.0000  6 Er 3.06, 3 Ca 3.28
Ga 0.3333 0.6667 0.5000  3 Er 2.99, 6 Ca 3.31
Ga 0.6667 0.3333 0.5000  3 Er 2.99, 6 Ca 3.31

Calculated values
ΔE_f (kJ per mole of atoms): -33.0
SG: P-62m, No. 189
Electronic total energy (eV per atom): -3.539
Polymorph energy (0 for the lowest one) (meV/atom): 0
Magnetic moment (μB per formula unit): 0.0

=====

No. 3
Compound: LaTbZnSi
Source: Alexandria via LeMat-Bulk
Functional: PBE
Structure: relaxed

a = 4.1043 Å, b = 6.0589 Å, c = 6.0589 Å
α = 41.36°, β = 90.00°, γ = 90.00°
Last column: nearest neighbours and their distance in Å.
Positions (direct):
La 0.0000 0.0000 0.0000  4 Zn 3.12, 3 Si 3.16-3.29
Tb 0.5000 0.2861 0.2861  4 Si 3.06, 3 Zn 3.12-3.40
Zn 0.5000 0.5860 0.5860  2 Si 2.56
Si 0.0000 0.7210 0.7210  2 Zn 2.56

Calculated values
SG: Amm2, No. 38
Formation energy without anion corrections (meV/atom): -528.8
Electronic total energy (eV per atom): -4.592
Polymorph energy (0 for the lowest one) (meV/atom): 0
Magnetic moment (μB per formula unit): 0.0

=====

No. 4
Compound: Pa2BO8
Source: Alexandria via LeMat-Bulk
Functional: PBE
Structure: relaxed

a = 5.6066 Å, b = 5.6066 Å, c = 4.8804 Å
α = 98.61°, β = 98.61°, γ = 91.39°
Last column: nearest neighbours and their distance in Å.
Positions (direct):
Pa 0.2086 0.7914 0.0000  4 O 2.09-2.23
Pa 0.7914 0.2086 0.0000  4 O 2.09-2.23
B 0.5000 0.5000 0.5000  2 O 1.27
O 0.0699 0.0699 0.2572  2 Pa 2.09
O 0.1704 0.3893 0.9274  1 O 1.76
O 0.3414 0.6586 0.5000  1 B 1.27
O 0.3893 0.1704 0.9274  1 O 1.76
O 0.6107 0.8296 0.0726  1 O 1.76
O 0.6586 0.3414 0.5000  1 B 1.27
O 0.8296 0.6107 0.0726  1 O 1.76
O 0.9301 0.9301 0.7428  2 Pa 2.09

Calculated values
SG: C2/m, No. 12
Formation energy without anion corrections (meV/atom): -2335.0
Electronic total energy (eV per atom): -8.275
Magnetic moment (μB per formula unit): 0.0

=====

No. 5
Compound: LuPaGaTc
Source: Alexandria via LeMat-Bulk
Functional: PBE
Structure: relaxed

a = 4.9051 Å, b = 4.9051 Å, c = 4.9051 Å
α = 60.00°, β = 60.00°, γ = 60.00°
Last column: nearest neighbours and their distance in Å.
Positions (direct):
Lu 0.0000 0.0000 0.0000  4 Tc 3.00, 4 Ga 3.00
Pa 0.5000 0.5000 0.5000  4 Tc 3.00, 4 Ga 3.00
Ga 0.7500 0.7500 0.7500  4 Pa 3.00, 4 Lu 3.00
Tc 0.2500 0.2500 0.2500  4 Pa 3.00, 4 Lu 3.00

Calculated values
ΔE_f (kJ per mole of atoms): -20.9
SG: F-43m, No. 216
Electronic total energy (eV per atom): -7.069
Magnetic moment (μB per formula unit): 0.0

=====

No. 6
Compound: SbMo2Os
Source: Alexandria via LeMat-Bulk
Functional: PBE
Structure: relaxed

a = 3.1921 Å, b = 3.1921 Å, c = 6.5515 Å
α = 90.00°, β = 90.00°, γ = 90.00°
Last column: nearest neighbours and their distance in Å.
Positions (direct):
Sb 0.0000 0.0000 0.0000  4 Mo 2.83, 4 Os 2.85
Mo 0.0000 0.0000 0.4935  4 Mo 2.73, 4 Os 2.76
Mo 0.5000 0.5000 0.2602  4 Mo 2.73, 4 Sb 2.83
Os 0.5000 0.5000 0.7356  4 Mo 2.76, 4 Sb 2.85

Calculated values
SG: P4mm, No. 99
Formation energy without anion corrections (meV/atom): 331.9
Electronic total energy (eV per atom): -8.922
Magnetic moment (μB per formula unit): 0.0